VASP calculation (GGA+U) on a relaxed structure of PmPbW2O8.

Calculated values
- Spin magnetization: 0.09 μB per atom
- Density: 5.78 g/cm3
- Electronic total energy: -7.18 eV/atom
- DOS(E_F): 0.7 states/eV/cell

Cell lengths 5.4787, 5.4787, 9.3738 Å; angles 90.00, 90.00, 120.00 degrees
Space group P-3 (No. 147)
Unique sites:
Pm 0.0000 0.0000 0.0000 x1
Pb 0.0000 0.0000 0.5000 x1
W 0.3333 0.6667 0.2288 x2
O 0.0361 0.3476 0.1580 x6
O 0.3333 0.6667 0.4227 x2